No. 1
# CdReRh

A geometry-optimized CdReRh structure (PBE-GGA, Alexandria).

Output
Its crystal system is tetragonal. The value obtained for the uncorrected energy is -6.974 eV per atom. The energy relative to the elements comes out at -0.21 eV per formula unit. As for the symmetry: P4/nmm, No. 129.

Lattice parameters (Å, degrees): 2.811 2.811 12.465 90.00 90.00 90.00
Element x y z (fractional)
Cd  0.250  0.250  0.105
Cd  0.750  0.750  0.895
Re  0.250  0.250  0.416
Re  0.750  0.750  0.584
Rh  0.250  0.250  0.723
Rh  0.750  0.750  0.277

***

No. 2
# PtW2Br

A geometry-optimized PtW2Br structure (PBE-GGA, Alexandria).

Output
Its crystal system is orthorhombic. The value obtained for the uncorrected energy is -7.378 eV per atom. As for the symmetry: Pmmm, No. 47.

Lattice parameters (Å, degrees): 2.969 4.750 4.837 90.00 90.00 90.00
Element x y z (fractional)
Pt  0.000  0.000  0.000
W  0.000  0.500  0.500
W  0.500  0.000  0.500
Br  0.500  0.500  0.000

***

No. 3
# MgRe2SnRu

A geometry-optimized MgRe2SnRu structure (PBE-GGA, Alexandria).

Output
Its crystal system is tetragonal. The value obtained for the uncorrected energy is -5.541 eV per atom. The energy relative to the elements comes out at 12.07 eV per formula unit. As for the symmetry: P4/mmm, No. 123.

Lattice parameters (Å, degrees): 4.555 4.555 4.722 90.00 90.00 90.00
Element x y z (fractional)
Mg  0.000  0.000  0.000
Re  0.000  0.500  0.000
Re  0.500  0.000  0.000
Sn  0.000  0.000  0.500
Ru  0.500  0.500  0.500

***

No. 4
# ZnCr2Ru

A geometry-optimized ZnCr2Ru structure (PBE-GGA, Alexandria).

Output
Its crystal system is trigonal. The value obtained for the uncorrected energy is -7.255 eV per atom. The energy relative to the elements comes out at 0.78 eV per formula unit. As for the symmetry: R3m, No. 160.

Lattice parameters (Å, degrees): 8.819 8.819 8.819 17.17 17.17 17.17
Element x y z (fractional)
Zn  0.000  0.000  0.000
Cr  0.248  0.248  0.248
Cr  0.500  0.500  0.500
Ru  0.756  0.756  0.756

***

Number 1: mass density 13.54 g cm⁻³, N(E_F) 1.22 states/eV/f.u.. Number 2: mass density 15.65 g cm⁻³, N(E_F) 3.72 states/eV/f.u.. Number 3: mass density 10.45 g cm⁻³, N(E_F) 6.08 states/eV/f.u.. Number 4: mass density 8.61 g cm⁻³, N(E_F) 3.15 states/eV/f.u..